1.
Below is a relaxed structure of BaGaSiAu2, with properties calculated at the PBE-GGA level.

abc: 4.616 4.616 10.570
angles: 90.00 90.00 90.00
Positions (direct):
Au  0.000  0.000  0.000
Au  0.500  0.500  0.000
Au  0.500  0.000  0.365
Au  0.000  0.500  0.635
Ba  0.000  0.500  0.247
Ba  0.500  0.000  0.753
Ga  0.000  0.000  0.500
Ga  0.500  0.500  0.500
Si  0.500  0.000  0.122
Si  0.000  0.500  0.878



2.
Below is a relaxed structure of Li4InPt2Pb, with properties calculated at the PBE-GGA level.

abc: 4.537 4.537 6.382
angles: 90.00 90.00 90.00
Positions (direct):
In  0.000  0.000  0.000
Li  0.500  0.500  0.000
Li  0.000  0.500  0.240
Li  0.000  0.000  0.500
Li  0.500  0.000  0.760
Pb  0.500  0.500  0.500
Pt  0.500  0.000  0.241
Pt  0.000  0.500  0.759



no.,electronic total energy (eV/atom)
1,-3.9014
2,-3.7934